Record 1
Material: CuHgPt2
Method: DFT, PBE
State: optimized geometry

abc: 3.9684 4.0043 4.0549
angles: 90.00 90.00 90.00
Element x y z (fractional)
Cu (0.0000, 0.0000, 0.0000)
Hg (0.0000, 0.5000, 0.5000)
Pt (0.5000, 0.0000, 0.5000)
Pt (0.5000, 0.5000, 0.0000)

The density is 16.9 Mg/m³.

***

Record 2
Material: CuHg2Pt
Method: DFT, PBE
State: optimized geometry

abc: 10.0358 10.0358 10.0358
angles: 156.77 156.77 33.08
Element x y z (fractional)
Cu (0.0000, 0.0000, 0.0000)
Cu (0.7500, 0.2500, 0.5000)
Hg (0.1235, 0.6250, 0.9985)
Hg (0.3750, 0.3735, 0.4985)
Hg (0.6265, 0.1250, 0.0015)
Hg (0.8750, 0.8765, 0.5015)
Pt (0.2500, 0.7500, 0.5000)
Pt (0.5000, 0.5000, 0.0000)

The density is 14.0 Mg/m³. The calculation puts the energy above the most stable polymorph in this dataset at 205 meV per atom.

***

Record 3
Material: CuHg4Pt
Method: DFT, PBE
State: optimized geometry

abc: 5.6605 5.6605 5.6605
angles: 60.00 60.00 60.00
Element x y z (fractional)
Cu (0.0000, 0.0000, 0.0000)
Hg (0.1253, 0.6249, 0.6249)
Hg (0.6249, 0.1253, 0.6249)
Hg (0.6249, 0.6249, 0.1253)
Hg (0.6249, 0.6249, 0.6249)
Pt (0.2500, 0.2500, 0.2500)

The density is 13.7 Mg/m³.

***

no.,formation energy from the elements (eV/atom)
1,-0.019
2,0.284
3,0.574